Material: CeIn2Br6
Method: DFT, PBE-GGA
State: relaxed

Values from the calculation:
Crystal system = monoclinic
Formation energy (no corrections) = -1204 meV per atom
Energy above the lowest structure with this stoichiometry = 0.0 meV per atom
E = -0.2636 Ry per atom

Cell and atoms, written as CIF:
```
data_CeIn2Br6
_chemical_formula_sum 'Ce2 In4 Br12'
_space_group_name_H-M_alt 'P 1 21/c 1'
_space_group_IT_number 14
_cell_length_a 7.765
_cell_length_b 8.125
_cell_length_c 12.972
_cell_angle_alpha 90.00
_cell_angle_beta 119.83
_cell_angle_gamma 90.00
loop_
_space_group_symop_operation_xyz
'x,y,z'
'-x,-y,-z'
'-x,y+1/2,-z+1/2'
'x,-y+1/2,z+1/2'
loop_
_atom_site_label
_atom_site_type_symbol
_atom_site_fract_x
_atom_site_fract_y
_atom_site_fract_z
Ce1 Ce 0.000 0.000 0.000
In1 In 0.326 0.093 0.786
Br1 Br 0.077 0.061 0.232
Br2 Br 0.243 0.720 0.081
Br3 Br 0.340 0.182 0.045
```

***

Material: CeIn2Br6
Method: DFT, PBE-GGA
State: relaxed

Values from the calculation:
Crystal system = tetragonal
Formation energy (no corrections) = -1197 meV per atom
Energy above the lowest structure with this stoichiometry = 7.2 meV per atom
E = -0.2631 Ry per atom
DOS at the Fermi energy = 1.37 states/eV per cell

Cell and atoms, written as CIF:
```
data_CeIn2Br6
_chemical_formula_sum 'Ce2 In4 Br12'
_space_group_name_H-M_alt 'P 42/m n m'
_space_group_IT_number 136
_space_group_name_Hall '-P 4n 2n'
_cell_length_a 7.313
_cell_length_b 7.313
_cell_length_c 13.849
_cell_angle_alpha 90.00
_cell_angle_beta 90.00
_cell_angle_gamma 90.00
loop_
_atom_site_label
_atom_site_type_symbol
_atom_site_fract_x
_atom_site_fract_y
_atom_site_fract_z
Ce1 Ce 0.000 0.000 0.000
In1 In 0.000 0.000 0.333
Br1 Br 0.185 0.185 0.150
Br2 Br 0.229 0.229 0.500
```

***

Material: CeIn2Br8
Method: DFT, PBE-GGA
State: relaxed

Values from the calculation:
Crystal system = monoclinic
Formation energy (no corrections) = -1046 meV per atom
E = -0.2425 Ry per atom
DOS at the Fermi energy = 22.03 states/eV per cell

Cell and atoms, written as CIF:
```
data_CeIn2Br8
_chemical_formula_sum 'Ce2 In4 Br16'
_space_group_name_H-M_alt 'C 1 2/m 1'
_space_group_IT_number 12
_cell_length_a 14.277
_cell_length_b 9.142
_cell_length_c 7.259
_cell_angle_alpha 90.00
_cell_angle_beta 99.70
_cell_angle_gamma 90.00
loop_
_space_group_symop_operation_xyz
'x,y,z'
'-x,-y,-z'
'-x,y,-z'
'x,-y,z'
'x+1/2,y+1/2,z'
'-x+1/2,-y+1/2,-z'
'-x+1/2,y+1/2,-z'
'x+1/2,-y+1/2,z'
loop_
_atom_site_label
_atom_site_type_symbol
_atom_site_fract_x
_atom_site_fract_y
_atom_site_fract_z
Ce1 Ce 0.000 0.000 0.000
In1 In 0.197 0.000 0.651
Br1 Br 0.092 0.210 0.776
Br2 Br 0.128 0.500 0.214
Br3 Br 0.178 0.000 0.273
```

***

Question: Which formula does entry 1 have?
Answer: CeIn2Br6